Entry 1:
Ag2TeO6 | PBE | relaxed

```
Ag2TeO6
1.0
0.0000 5.6316 8.2667
2.7988 0.0000 8.2667
2.7988 5.6316 0.0000
Ag O Te
4 12 2
Cartesian
3.7364 6.7493 5.6131
3.2606 9.5651 9.7464
1.8612 6.7493 10.9202
5.1358 9.5651 15.0536
4.4618 6.7210 7.5365
2.8045 6.7631 12.7166
2.0762 5.5799 5.9347
2.5352 3.9052 3.4031
1.4051 3.9473 7.9501
1.1358 6.7210 8.9969
3.0624 3.9052 13.1302
3.5215 5.5799 10.5986
3.4756 2.7641 6.4653
2.1220 2.7641 10.0681
2.7931 6.7631 3.8167
4.1925 3.9473 8.5833
1.3994 5.2933 4.1333
2.7988 2.4775 8.2667
```

## Properties
Crystal system = orthorhombic
E above lowest polymorph = 32.7 meV/atom
Symmetry = Fdd2
Formation energy without anion corrections = -170 kJ/mol of formula units
Size of the total moment = 0.00 μB per formula unit

Entry 2:
HoSi2Ni10 | PBE | relaxed

```
HoSi2Ni10
1.0
-1.9062 -7.0208 3.7175
2.4267 -4.1549 -6.6025
4.3287 -0.2497 1.7480
Ni Ho Si
20 2 4
Cartesian
1.5749 -4.6140 -1.5721
1.6689 -6.1774 4.5008
3.8261 -1.3325 -0.5546
-0.2039 -5.1444 3.1624
-0.8230 -6.3043 1.1375
4.9089 -3.1863 -3.5005
1.0137 -6.6810 -0.4777
2.1067 -6.8061 -2.7965
3.1976 -5.1663 0.8598
3.0140 -1.2235 1.8777
1.3913 -0.6712 -0.5543
0.7628 -4.5051 0.8601
0.3903 -8.3818 -2.1638
3.9422 -3.8257 -1.1982
1.3434 -4.8714 -4.0225
3.1036 -3.6030 -5.2131
0.1301 -2.7939 -0.7213
0.6467 -2.0119 1.5037
3.9120 -6.3895 -1.0840
2.8865 -7.7139 0.8607
2.1683 -2.1325 -2.9156
2.4206 -3.7050 3.2212
2.5547 -8.5066 -1.2897
2.2944 -2.9188 0.1528
1.3413 -6.4292 2.0115
3.5078 -4.9962 -3.1485
```

## Properties
Crystal system = tetragonal
E above lowest polymorph = 0.0 meV/atom
Symmetry = P4/nmm
Formation energy without anion corrections = -558 kJ/mol of formula units
Size of the total moment = 0.00 μB per formula unit

Entry 3:
Be3GePt | PBE | relaxed

```
Be3GePt
1.0
4.1552 0.0000 0.0000
0.0000 4.1552 0.0000
0.0000 0.0000 4.1552
Ge Pt Be
1 1 3
Cartesian
0.0000 0.0000 0.0000
2.0776 2.0776 2.0776
0.0000 2.0776 0.0000
0.0000 0.0000 2.0776
2.0776 0.0000 0.0000
```

## Properties
Crystal system = cubic
E above lowest polymorph = 448.8 meV/atom
Symmetry = Pm-3m
Size of the total moment = 0.00 μB per formula unit

Entry 4:
Sr2FeW | PBE | relaxed

```
Sr2FeW
1.0
-0.4306 -2.9469 -4.1125
-2.2132 -1.5367 1.3329
-6.4066 2.4145 -1.0594
W Sr Fe
1 2 1
Cartesian
-2.3703 -1.2540 -1.9879
-6.4046 2.4117 -1.0576
-4.3119 0.4417 0.1349
-6.6802 -0.8150 -1.8511
```

## Properties
Crystal system = orthorhombic
E above lowest polymorph = 821.4 meV/atom
Symmetry = Pmmm
Size of the total moment = 2.50 μB per formula unit

Entry 5:
LaRePb | PBE | relaxed

```
LaRePb
1.0
4.7803 0.0000 0.0000
-2.3902 4.1399 0.0000
0.0000 0.0000 3.9447
La Re Pb
1 1 1
Cartesian
0.0000 0.0000 0.0006
2.3902 1.3800 1.9725
0.0000 2.7599 1.9716
```

## Properties
Crystal system = hexagonal
E above lowest polymorph = 96.2 meV/atom
Symmetry = P-6m2
Size of the total moment = 0.00 μB per formula unit

Entry 6:
NdAlIn2S6 | PBE | relaxed

```
NdAlIn2S6
1.0
-4.3135 -5.6505 -2.0825
-3.6546 -3.2998 7.1896
-8.0865 3.0950 -0.9818
In S Al Nd
4 12 2 2
Cartesian
-9.1098 -2.2921 4.0690
-4.2637 -1.4948 2.0645
-6.9449 -3.5633 0.0563
-11.7910 -4.3605 2.0607
-7.8699 -1.4611 -0.8870
-3.4306 -1.9293 4.3627
-10.8691 -1.3940 5.6905
-2.5245 -2.3637 0.4058
-13.5301 -3.4916 3.7194
-12.6241 -3.9260 -0.2374
-10.2689 -2.4097 1.9151
-5.1856 -4.4613 -1.5652
-8.9488 -4.8190 -0.6864
-5.7858 -3.4456 2.2102
-8.1848 -4.3942 5.0122
-7.1059 -1.0364 4.8116
-8.3813 0.5517 -0.0577
-7.6733 -6.4071 4.1830
-5.4428 -3.6883 5.3603
-10.6119 -2.1670 -1.2350
```

## Properties
Crystal system = monoclinic
Symmetry = C2/c
Formation energy without anion corrections = -945 kJ/mol of formula units
Size of the total moment = 0.00 μB per formula unit

Entry 7:
Pr2NdSn | PBE | relaxed

```
Pr2NdSn
1.0
4.3070 0.0000 0.0000
0.0000 4.3070 0.0000
0.0000 0.0000 6.9413
Pr Sn Nd
2 1 1
Cartesian
0.0000 0.0000 1.8972
0.0000 0.0000 5.0441
2.1535 2.1535 3.4707
2.1535 2.1535 0.0000
```

## Properties
Crystal system = tetragonal
E above lowest polymorph = 98.7 meV/atom
Symmetry = P4/mmm
Size of the total moment = 0.00 μB per formula unit

Entry 8:
LiBe5Au6 | PBE | relaxed

```
LiBe5Au6
1.0
4.0994 0.0012 -0.8185
-0.0018 6.0909 0.0000
-0.8945 -0.0001 6.5587
Be Au Li
5 6 1
Cartesian
-0.0009 3.0454 0.0000
0.7722 6.0912 4.1252
2.4210 3.0462 1.6065
0.7821 3.0458 4.1337
2.4309 0.0009 1.6149
2.8132 4.5453 3.6509
0.3898 1.5467 2.0892
2.8144 1.5490 3.6518
0.3887 4.5431 2.0884
2.0493 1.5706 -0.4089
1.1537 4.5215 6.1490
0.0000 0.0000 0.0000
```

## Properties
Crystal system = monoclinic
Symmetry = P2/m
E = -42.5 eV/cell
Size of the total moment = 0.00 μB per formula unit

Entry 9:
NaTl3Cl4 | PBE | relaxed

```
NaTl3Cl4
1.0
4.4568 0.0000 0.0000
0.0000 7.7596 -0.0489
0.0000 -2.4928 7.3485
Na Cl Tl
1 4 3
Cartesian
2.2284 0.0000 0.0000
0.0000 1.2035 1.6680
2.2284 5.3610 1.6818
2.2284 -0.0942 5.6178
0.0000 4.0633 5.6316
0.0000 -1.2464 3.6742
2.2284 2.6334 3.6498
0.0000 3.8798 -0.0244
```

## Properties
Crystal system = orthorhombic
Symmetry = Cmmm
Formation energy without anion corrections = -917 kJ/mol of formula units
Size of the total moment = 0.00 μB per formula unit

Entry 10:
LaTcMo3 | PBE | relaxed

```
LaTcMo3
1.0
-2.0718 3.8545 1.6947
-0.1067 -1.9362 4.2733
4.2093 1.8481 0.9424
Mo Tc La
3 1 1
Cartesian
-1.0359 1.9273 0.8474
2.1046 0.9241 0.4712
-0.0533 -0.9681 2.1367
1.0154 1.8832 3.4552
0.0000 0.0000 0.0000
```

## Properties
Crystal system = cubic
E above lowest polymorph = 1485.7 meV/atom
Symmetry = Pm-3m
Size of the total moment = 0.00 μB per formula unit

Number 10 is which compound?
LaTcMo3

Which formula does entry 7 have?
Pr2NdSn

size of the total moment of number 5 (LaRePb)?
0.00 μB per formula unit